[1]
LaMgPbC2 | SCAN | single point on PBEsol structure

Cell lengths 4.4631, 4.4631, 5.8413 Å; angles 90.00, 90.00, 90.00 degrees
Fractional coordinates of all 5 atoms:
La1 0.0000 0.0000 0.0000
Mg1 0.0000 0.0000 0.5000
Pb1 0.5000 0.5000 0.5000
C1 0.0000 0.5000 0.0000
C2 0.5000 0.0000 0.0000

VASP energy ... -26.9294 eV/atom
Symmetry ... P4/mmm (123)

***

[2]
La21Mn8Sn7C12 | SCAN | single point on PBEsol structure

Cell lengths 11.5305, 11.5305, 11.5305 Å; angles 60.00, 60.00, 60.00 degrees
Fractional coordinates of all 48 atoms:
La1 0.0000 0.0000 0.0000
La2 0.1337 0.1337 0.1337
La3 0.1337 0.1337 0.5989
La4 0.1337 0.5989 0.1337
La5 0.1632 0.5000 0.5000
La6 0.1632 0.5000 0.8368
La7 0.1632 0.8368 0.5000
La8 0.4011 0.8663 0.8663
La9 0.5000 0.1632 0.5000
La10 0.5000 0.1632 0.8368
La11 0.5000 0.5000 0.1632
La12 0.5000 0.5000 0.8368
La13 0.5000 0.8368 0.1632
La14 0.5000 0.8368 0.5000
La15 0.5989 0.1337 0.1337
La16 0.8368 0.1632 0.5000
La17 0.8368 0.5000 0.1632
La18 0.8368 0.5000 0.5000
La19 0.8663 0.4011 0.8663
La20 0.8663 0.8663 0.4011
La21 0.8663 0.8663 0.8663
Mn1 0.0936 0.3021 0.3021
Mn2 0.3021 0.0936 0.3021
Mn3 0.3021 0.3021 0.0936
Mn4 0.3021 0.3021 0.3021
Mn5 0.6979 0.6979 0.6979
Mn6 0.6979 0.6979 0.9064
Mn7 0.6979 0.9064 0.6979
Mn8 0.9064 0.6979 0.6979
Sn1 0.2097 0.2097 0.7903
Sn2 0.2097 0.7903 0.2097
Sn3 0.2097 0.7903 0.7903
Sn4 0.5000 0.5000 0.5000
Sn5 0.7903 0.2097 0.2097
Sn6 0.7903 0.2097 0.7903
Sn7 0.7903 0.7903 0.2097
C1 0.1077 0.1077 0.3923
C2 0.1077 0.3923 0.1077
C3 0.1077 0.3923 0.3923
C4 0.3923 0.1077 0.1077
C5 0.3923 0.1077 0.3923
C6 0.3923 0.3923 0.1077
C7 0.6077 0.6077 0.8923
C8 0.6077 0.8923 0.6077
C9 0.6077 0.8923 0.8923
C10 0.8923 0.6077 0.6077
C11 0.8923 0.6077 0.8923
C12 0.8923 0.8923 0.6077

VASP energy ... -30.2256 eV/atom
Symmetry ... Fm-3m (225)

***

[3]
LaTiMnC2 | SCAN | single point on PBEsol structure

Cell lengths 4.3117, 4.3117, 5.2497 Å; angles 90.00, 90.00, 90.00 degrees
Fractional coordinates of all 5 atoms:
La1 0.0000 0.0000 0.0000
Ti1 0.0000 0.0000 0.5000
Mn1 0.5000 0.5000 0.5000
C1 0.0000 0.5000 0.0000
C2 0.5000 0.0000 0.0000

VASP energy ... -17.1298 eV/atom
Symmetry ... P4/mmm (123)

***

Which value of VASP energy does entry 2 give?
-30.2256 eV/atom

***

The lowest VASP energy belongs to which entry?
La21Mn8Sn7C12

***

Which of these has the lowest VASP energy?
La21Mn8Sn7C12

***

Look up the VASP energy of the second one.
-30.2256 eV/atom